(1)
Y2Ag3SnTe6 | PBE | optimized geometry

Formation energy (no corrections): -614 meV/atom

Cell lengths 4.2937, 8.3780, 10.3917 Å; angles 101.47, 101.92, 90.00 degrees
Element x y z (fractional)
Te  0.6575  0.0433  0.3150
Te  0.0174  0.2770  0.0348
Y  0.1766  0.3140  0.3532
Ag  0.5000  0.5000  0.0000
Te  0.3327  0.4232  0.6654
Te  0.3425  0.9567  0.6850
Sn  0.5000  0.0000  0.0000
Te  0.6673  0.5768  0.3346
Te  0.9826  0.7230  0.9652
Ag  0.7965  0.1872  0.5929
Y  0.8234  0.6860  0.6468
Ag  0.2035  0.8128  0.4071

=====

(2)
Ta4Pd12Pt | PBE | optimized geometry

Formation enthalpy at 0 K: 0.0266 eV/atom

Cell lengths 7.1382, 7.1382, 7.1382 Å; angles 109.47, 109.47, 109.47 degrees
Element x y z (fractional)
Pd  0.6994  0.6994  0.0000
Pd  0.5000  0.2500  0.7500
Ta  0.0000  0.0000  0.5000
Pd  0.5000  0.7500  0.2500
Ta  0.5000  0.0000  0.0000
Ta  0.5000  0.5000  0.5000
Pd  0.6994  0.0000  0.6994
Pd  0.3006  0.0000  0.3006
Pt  0.0000  0.0000  0.0000
Pd  0.2500  0.7500  0.5000
Pd  0.3006  0.3006  0.0000
Pd  0.7500  0.5000  0.2500
Pd  0.0000  0.3006  0.3006
Pd  0.7500  0.2500  0.5000
Pd  0.0000  0.6994  0.6994
Pd  0.2500  0.5000  0.7500
Ta  0.0000  0.5000  0.0000

=====

(3)
YGa2Pt2 | PBE | optimized geometry

Formation enthalpy at 0 K: -0.6804 eV/atom

Cell lengths 7.8107, 7.8107, 2.8586 Å; angles 90.00, 90.00, 90.00 degrees
Element x y z (fractional)
Pt  0.6708  0.8292  0.5000
Y  0.5000  0.5000  0.0000
Pt  0.8292  0.3292  0.5000
Ga  0.1256  0.3744  0.0000
Ga  0.3744  0.8744  0.0000
Y  0.0000  0.0000  0.0000
Pt  0.3292  0.1708  0.5000
Ga  0.6256  0.1256  0.0000
Pt  0.1708  0.6708  0.5000
Ga  0.8744  0.6256  0.0000

=====

(4)
CdSi2Au | PBE | optimized geometry

Formation energy (no corrections): 378 meV/atom

Cell lengths 2.9593, 2.9593, 10.2777 Å; angles 90.00, 90.00, 123.39 degrees
Element x y z (fractional)
Cd  0.5000  0.5000  0.7500
Si  0.0000  0.0000  0.0252
Au  0.5000  0.5000  0.2500
Si  0.0000  0.0000  0.4748

=====

Please write out number 4 again, unchanged.
CdSi2Au | PBE | optimized geometry

Formation energy (no corrections): 378 meV/atom

Cell lengths 2.9593, 2.9593, 10.2777 Å; angles 90.00, 90.00, 123.39 degrees
Element x y z (fractional)
Cd  0.5000  0.5000  0.7500
Si  0.0000  0.0000  0.0252
Au  0.5000  0.5000  0.2500
Si  0.0000  0.0000  0.4748